[1]
Density functional theory data (GGA-PBE) for a geometry-optimized MnCdHgTe3 structure.

Results
symmetry = Cm, No. 8
E_tot = -3.54 eV per atom

Cell: 7.972 7.972 6.494 Å, 65.95 65.95 33.83°
Sites, in units of the cell vectors:
Mn (0.334, 0.334, 0.663)
Cd (0.998, 0.998, 0.003)
Hg (0.669, 0.669, 0.332)
Te (0.493, 0.493, 0.749)
Te (0.173, 0.173, 0.066)
Te (0.834, 0.834, 0.438)

=====

[2]
Density functional theory data (GGA-PBE) for a geometry-optimized HfAlAg structure.

Results
symmetry = Cmcm, No. 63
ΔH_f (0 K) = -0.2 eV/f.u.
E_tot = -5.59 eV per atom

Cell: 8.107 5.837 4.713 Å, 90.00 90.00 90.00°
Sites, in units of the cell vectors:
Hf (0.335, 0.250, 0.000)
Hf (0.165, 0.750, 0.500)
Hf (0.665, 0.750, 0.000)
Hf (0.835, 0.250, 0.500)
Al (0.000, 0.000, 0.000)
Al (0.500, 0.500, 0.500)
Al (0.500, 0.000, 0.500)
Al (0.000, 0.500, 0.000)
Ag (0.669, 0.250, 0.000)
Ag (0.831, 0.750, 0.500)
Ag (0.331, 0.750, 0.000)
Ag (0.169, 0.250, 0.500)

=====

[3]
Density functional theory data (GGA-PBE) for a geometry-optimized LaNd3SmTm structure.

Results
symmetry = Cmcm, No. 63
ΔH_f (0 K) = 0.7 eV/f.u.
E_tot = -4.62 eV per atom

Cell: 5.918 6.558 11.936 Å, 90.00 90.00 116.82°
Sites, in units of the cell vectors:
La (0.533, 0.065, 0.750)
La (0.467, 0.935, 0.250)
Nd (0.675, 0.350, 0.468)
Nd (0.325, 0.650, 0.532)
Nd (0.325, 0.650, 0.968)
Nd (0.675, 0.350, 0.032)
Nd (0.136, 0.272, 0.750)
Nd (0.864, 0.728, 0.250)
Sm (0.000, 0.000, 0.500)
Sm (0.000, 0.000, 0.000)
Tm (0.833, 0.665, 0.750)
Tm (0.167, 0.335, 0.250)

=====

[4]
Density functional theory data (GGA-PBE) for a geometry-optimized MgCr2Cu structure.

Results
symmetry = C2/m, No. 12
ΔH_f (0 K) = 1.8 eV/f.u.
E_tot = -5.78 eV per atom

Cell: 4.970 5.045 2.485 Å, 84.02 73.23 114.93°
Sites, in units of the cell vectors:
Cr (0.000, 0.000, 0.000)
Cr (0.500, 0.000, 0.500)
Cu (0.000, 0.500, 0.500)
Mg (0.500, 0.500, 0.000)

=====

[5]
Density functional theory data (GGA-PBE) for a geometry-optimized CeGd2Sn structure.

Results
symmetry = P4/mmm, No. 123
ΔH_f (0 K) = -1.6 eV/f.u.
E_tot = -9.93 eV per atom

Cell: 4.730 4.910 4.910 Å, 90.00 90.00 90.00°
Sites, in units of the cell vectors:
Gd (0.000, 0.000, 0.500)
Gd (0.000, 0.500, 0.000)
Sn (0.500, 0.000, 0.000)
Ce (0.500, 0.500, 0.500)

=====

[6]
Density functional theory data (GGA-PBE) for a geometry-optimized Cd2HgTe structure.

Results
symmetry = P4/mmm, No. 123
E_tot = -1.23 eV per atom

Cell: 3.323 3.323 9.391 Å, 90.00 90.00 90.00°
Sites, in units of the cell vectors:
Te (0.500, 0.500, 0.750)
Hg (0.500, 0.500, 0.250)
Cd (0.000, 0.000, 0.020)
Cd (0.000, 0.000, 0.480)

=====

Among the records above, which one has the lowest E_tot?
CeGd2Sn